(1)
{"formula": "HoTcBi", "functional": "GGA-PBE", "state": "optimized geometry", "density_g_cm3": 10.32, "sg": "P-1", "formation_energy_ev_per_atom": -0.24, "lattice_angstrom": [[4.3431, 1.0958, -0.4071], [3.2756, 4.9265, -1.3392], [-0.8638, -2.3648, 9.1471]], "species": ["Tc", "Tc", "Bi", "Bi", "Ho", "Ho"], "fractional_positions": [[0.7876, 0.1732, 0.9231], [0.2124, 0.8268, 0.0769], [0.9527, 0.8428, 0.5917], [0.0473, 0.1572, 0.4083], [0.1587, 0.4334, 0.1838], [0.8413, 0.5666, 0.8162]]}

(2)
{"formula": "Ho2BiTe", "functional": "GGA-PBE", "state": "optimized geometry", "density_g_cm3": 9.19, "sg": "C2/m", "raw_formation_energy_ev_per_atom": -1.060, "lattice_angstrom": [[4.4083, 0.0008, -0.0013], [-2.2021, 3.8188, 0.0013], [-2.1950, -1.2791, 7.1557]], "species": ["Ho", "Ho", "Te", "Bi"], "fractional_positions": [[0.5004, 0.2503, 0.7506], [0.4996, 0.7497, 0.2493], [0.0000, 0.5000, 0.5000], [0.0000, 0.0000, 0.0000]]}

(3)
{"formula": "Ho2BiTe2", "functional": "GGA-PBE", "state": "optimized geometry", "density_g_cm3": 7.39, "sg": "R-3m", "raw_formation_energy_ev_per_atom": -0.979, "lattice_angstrom": [[4.3737, 0.0000, 0.0000], [2.1868, 3.7877, 0.0000], [2.1868, 1.2626, 10.7707]], "species": ["Ho", "Ho", "Te", "Te", "Bi"], "fractional_positions": [[0.3954, 0.3954, 0.8138], [0.6046, 0.6046, 0.1862], [0.2216, 0.2216, 0.3353], [0.7784, 0.7784, 0.6647], [0.0000, 0.0000, 0.0000]]}